[1]
{
  "formula": "H3RuW",
  "functional": "GGA-PBEsol",
  "state": "optimized geometry",
  "lattice_angstrom": [[3.4213, 0.0000, 0.0000], [0.0000, 3.4213, 0.0000], [0.0000, 0.0000, 3.4213]],
  "species": ["H", "H", "H", "Ru", "W"],
  "fractional_positions": [[0.0000, 0.0000, 0.5000], [0.0000, 0.5000, 0.0000], [0.5000, 0.0000, 0.0000], [0.5000, 0.5000, 0.5000], [0.0000, 0.0000, 0.0000]],
  "e_tot_ev_per_atom": -6.089,
  "crystal_system": "cubic"
}

[2]
{
  "formula": "YH3Ru",
  "functional": "GGA-PBEsol",
  "state": "optimized geometry",
  "lattice_angstrom": [[3.5944, 0.0000, 0.0000], [0.0000, 3.5944, 0.0000], [0.0000, 0.0000, 3.5944]],
  "species": ["Y", "H", "H", "H", "Ru"],
  "fractional_positions": [[0.0000, 0.0000, 0.0000], [0.0000, 0.5000, 0.5000], [0.5000, 0.0000, 0.5000], [0.5000, 0.5000, 0.0000], [0.5000, 0.5000, 0.5000]],
  "e_tot_ev_per_atom": -5.877,
  "crystal_system": "cubic"
}

[3]
{
  "formula": "YH2Ru2",
  "functional": "GGA-PBEsol",
  "state": "optimized geometry",
  "lattice_angstrom": [[-1.8093, 1.8093, 4.3945], [1.8093, -1.8093, 4.3945], [1.8093, 1.8093, -4.3945]],
  "species": ["Y", "H", "H", "Ru", "Ru"],
  "fractional_positions": [[0.0000, 0.0000, 0.0000], [0.2500, 0.7500, 0.5000], [0.7500, 0.2500, 0.5000], [0.3173, 0.3173, 0.0000], [0.6827, 0.6827, 0.0000]],
  "e_tot_ev_per_atom": -6.735,
  "crystal_system": "tetragonal"
}

[4]
{
  "formula": "Y3HRu",
  "functional": "GGA-PBEsol",
  "state": "optimized geometry",
  "lattice_angstrom": [[4.5850, 0.0000, 0.0000], [0.0000, 4.5850, 0.0000], [0.0000, 0.0000, 4.5850]],
  "species": ["Y", "Y", "Y", "H", "Ru"],
  "fractional_positions": [[0.0000, 0.0000, 0.5000], [0.0000, 0.5000, 0.0000], [0.5000, 0.0000, 0.0000], [0.0000, 0.0000, 0.0000], [0.5000, 0.5000, 0.5000]],
  "e_tot_ev_per_atom": -6.825,
  "crystal_system": "cubic"
}

[5]
{
  "formula": "ZnHRu3",
  "functional": "GGA-PBEsol",
  "state": "optimized geometry",
  "lattice_angstrom": [[3.8272, 0.0000, 0.0000], [0.0000, 3.8272, 0.0000], [0.0000, 0.0000, 3.8272]],
  "species": ["Zn", "H", "Ru", "Ru", "Ru"],
  "fractional_positions": [[0.0000, 0.0000, 0.0000], [0.5000, 0.5000, 0.5000], [0.0000, 0.5000, 0.5000], [0.5000, 0.0000, 0.5000], [0.5000, 0.5000, 0.0000]],
  "e_tot_ev_per_atom": -6.840,
  "crystal_system": "cubic"
}

[6]
{
  "formula": "ZnHRu2",
  "functional": "GGA-PBEsol",
  "state": "optimized geometry",
  "lattice_angstrom": [[0.0000, 2.8317, 2.8317], [2.8317, 0.0000, 2.8317], [2.8317, 2.8317, 0.0000]],
  "species": ["Zn", "H", "Ru", "Ru"],
  "fractional_positions": [[0.0000, 0.0000, 0.0000], [0.5000, 0.5000, 0.5000], [0.2500, 0.2500, 0.2500], [0.7500, 0.7500, 0.7500]],
  "e_tot_ev_per_atom": -5.523,
  "crystal_system": "cubic"
}

[7]
{
  "formula": "Zr3HRu",
  "functional": "GGA-PBEsol",
  "state": "optimized geometry",
  "lattice_angstrom": [[4.2987, 0.0000, 0.0000], [0.0000, 4.2987, 0.0000], [0.0000, 0.0000, 4.2987]],
  "species": ["Zr", "Zr", "Zr", "H", "Ru"],
  "fractional_positions": [[0.0000, 0.0000, 0.5000], [0.0000, 0.5000, 0.0000], [0.5000, 0.0000, 0.0000], [0.0000, 0.0000, 0.0000], [0.5000, 0.5000, 0.5000]],
  "e_tot_ev_per_atom": -8.272,
  "crystal_system": "cubic"
}

[8]
{
  "formula": "SbHS2",
  "functional": "GGA-PBEsol",
  "state": "optimized geometry",
  "lattice_angstrom": [[-3.0634, 3.0634, 3.4488], [3.0634, -3.0634, 3.4488], [3.0634, 3.0634, -3.4488]],
  "species": ["Sb", "Sb", "H", "H", "S", "S", "S", "S"],
  "fractional_positions": [[0.0000, 0.0000, 0.0000], [0.7500, 0.2500, 0.5000], [0.2500, 0.7500, 0.5000], [0.5000, 0.5000, 0.0000], [0.2063, 0.6250, 0.0813], [0.3750, 0.4563, 0.5813], [0.5437, 0.1250, 0.9187], [0.8750, 0.7937, 0.4187]],
  "e_tot_ev_per_atom": -3.849,
  "crystal_system": "tetragonal"
}

[9]
{
  "formula": "Sb2TeHS",
  "functional": "GGA-PBEsol",
  "state": "optimized geometry",
  "lattice_angstrom": [[5.1247, 0.0000, 0.0000], [0.0000, 5.1247, 0.0000], [0.0000, 0.0000, 5.3679]],
  "species": ["Sb", "Sb", "Te", "H", "S"],
  "fractional_positions": [[0.0000, 0.5000, 0.0000], [0.5000, 0.0000, 0.0000], [0.0000, 0.0000, 0.5000], [0.5000, 0.5000, 0.5000], [0.0000, 0.0000, 0.0000]],
  "e_tot_ev_per_atom": -3.072,
  "crystal_system": "tetragonal"
}

[10]
{
  "formula": "ScHS3",
  "functional": "GGA-PBEsol",
  "state": "optimized geometry",
  "lattice_angstrom": [[4.0868, 0.0000, 0.0000], [0.0000, 4.0868, 0.0000], [0.0000, 0.0000, 4.0868]],
  "species": ["Sc", "H", "S", "S", "S"],
  "fractional_positions": [[0.0000, 0.0000, 0.0000], [0.5000, 0.5000, 0.5000], [0.0000, 0.5000, 0.5000], [0.5000, 0.0000, 0.5000], [0.5000, 0.5000, 0.0000]],
  "e_tot_ev_per_atom": -4.697,
  "crystal_system": "cubic"
}

[11]
{
  "formula": "Sc2SnHS",
  "functional": "GGA-PBEsol",
  "state": "optimized geometry",
  "lattice_angstrom": [[5.0352, 0.0000, 0.0000], [0.0000, 5.0352, 0.0000], [0.0000, 0.0000, 3.4490]],
  "species": ["Sc", "Sc", "Sn", "H", "S"],
  "fractional_positions": [[0.0000, 0.5000, 0.0000], [0.5000, 0.0000, 0.0000], [0.0000, 0.0000, 0.5000], [0.5000, 0.5000, 0.5000], [0.5000, 0.5000, 0.0000]],
  "e_tot_ev_per_atom": -5.683,
  "crystal_system": "tetragonal"
}

[12]
{
  "formula": "HWSeS2",
  "functional": "GGA-PBEsol",
  "state": "optimized geometry",
  "lattice_angstrom": [[4.7103, 0.0000, 0.0000], [0.0000, 4.7103, 0.0000], [0.0000, 0.0000, 3.1479]],
  "species": ["H", "W", "Se", "S", "S"],
  "fractional_positions": [[0.0000, 0.0000, 0.0000], [0.5000, 0.5000, 0.0000], [0.0000, 0.0000, 0.5000], [0.0000, 0.5000, 0.5000], [0.5000, 0.0000, 0.5000]],
  "e_tot_ev_per_atom": -5.076,
  "crystal_system": "tetragonal"
}